Record 1
Computed, not measured: an optimized crystal structure of CdRe2W at the GGA-PBEsol level of DFT.

As for the space group: No. 119. The calculated formation energy is 0.61 eV/atom. The crystal system is tetragonal. The value obtained for the magnetization is 0.00 Bohr magnetons per cell. The calculation puts the uncorrected energy at -39.22 eV for the cell shown.

Unit cell a=3.9261 b=3.9261 c=4.9126 alpha=113.55 beta=113.55 gamma=90.00
Closest atoms and distances in Å follow each position.
Fractional coordinates of all 4 atoms:
Cd (0.2500, 0.7500, 0.5000)  8 Re 2.78-2.82, 4 W 2.82
Re (0.0000, 0.0000, 0.0000)  4 W 2.78, 4 Cd 2.82, 4 Re 2.82
Re (0.7500, 0.2500, 0.5000)  4 Cd 2.78, 4 W 2.82, 4 Re 2.82
W (0.5000, 0.5000, 0.0000)  8 Re 2.78-2.82, 4 Cd 2.82

Record 2
Computed, not measured: an optimized crystal structure of SrCa3Cu at the GGA-PBEsol level of DFT.

As for the space group: No. 221. The calculated formation energy is 0.00 eV/atom. The crystal system is cubic. The value obtained for the magnetization is 0.00 Bohr magnetons per cell. The calculation puts the uncorrected energy at -12.55 eV for the cell shown.

Unit cell a=5.6806 b=5.6806 c=5.6806 alpha=90.00 beta=90.00 gamma=90.00
Closest atoms and distances in Å follow each position.
Fractional coordinates of all 5 atoms:
Sr (0.5000, 0.5000, 0.5000)  12 Ca 4.02
Ca (0.0000, 0.5000, 0.0000)  2 Cu 2.84
Ca (0.0000, 0.0000, 0.5000)  2 Cu 2.84
Ca (0.5000, 0.0000, 0.0000)  2 Cu 2.84
Cu (0.0000, 0.0000, 0.0000)  6 Ca 2.84

Record 3
Computed, not measured: an optimized crystal structure of Ba2LuCu3O7 at the GGA-PBEsol level of DFT.

As for the space group: No. 47. The uncorrected formation energy comes out at -1.867 eV per atom. The crystal system is orthorhombic. The value obtained for the magnetization is 0.00 Bohr magnetons per cell. The calculation puts the uncorrected energy at -83.19 eV for the cell shown.

Unit cell a=3.7686 b=3.8444 c=11.4771 alpha=90.00 beta=90.00 gamma=90.00
Closest atoms and distances in Å follow each position.
Fractional coordinates of all 13 atoms:
Ba (0.5000, 0.5000, 0.1827)  10 O 2.70-3.00
Ba (0.5000, 0.5000, 0.8173)  10 O 2.70-3.00
Lu (0.5000, 0.5000, 0.5000)  8 O 2.32-2.34
Cu (0.0000, 0.0000, 0.3562)  4 O 1.91-1.94
Cu (0.0000, 0.0000, 0.6438)  4 O 1.91-1.94
Cu (0.0000, 0.0000, 0.0000)  4 O 1.86-1.92
O (0.0000, 0.5000, 0.0000)  2 Cu 1.92
O (0.0000, 0.5000, 0.3820)  2 Cu 1.94
O (0.0000, 0.5000, 0.6180)  2 Cu 1.94
O (0.5000, 0.0000, 0.3831)  2 Cu 1.91
O (0.5000, 0.0000, 0.6169)  2 Cu 1.91
O (0.0000, 0.0000, 0.1623)  1 Cu 1.86
O (0.0000, 0.0000, 0.8377)  1 Cu 1.86

Record 4
Computed, not measured: an optimized crystal structure of Mg4In5 at the GGA-PBEsol level of DFT.

As for the space group: No. 193. The calculated formation energy is -0.05 eV/atom. The value obtained for the offset from the most stable computed form is 30 meV per atom. The crystal system is hexagonal. The value obtained for the magnetization is 0.00 Bohr magnetons per cell. The calculation puts the uncorrected energy at -44.46 eV for the cell shown.

Unit cell a=6.1597 b=8.9119 c=8.9119 alpha=120.00 beta=90.00 gamma=90.00
Closest atoms and distances in Å follow each position.
Fractional coordinates of all 18 atoms:
In (0.7500, 0.0000, 0.6958)  7 Mg 2.99-3.12
In (0.7500, 0.6958, 0.0000)  7 Mg 2.99-3.12
In (0.7500, 0.3042, 0.3042)  7 Mg 2.99-3.12
In (0.2500, 0.0000, 0.3042)  7 Mg 2.99-3.12
In (0.2500, 0.3042, 0.0000)  7 Mg 2.99-3.12
In (0.2500, 0.6958, 0.6958)  7 Mg 2.99-3.12
In (0.0000, 0.3333, 0.6667)  2 In 3.08, 6 Mg 3.25
In (0.5000, 0.6667, 0.3333)  2 In 3.08, 6 Mg 3.25
In (0.0000, 0.6667, 0.3333)  2 In 3.08, 6 Mg 3.25
In (0.5000, 0.3333, 0.6667)  2 In 3.08, 6 Mg 3.25
Mg (0.0000, 0.0000, 0.0000)  2 Mg 3.08, 6 In 3.12
Mg (0.5000, 0.0000, 0.0000)  2 Mg 3.08, 6 In 3.12
Mg (0.7500, 0.0000, 0.3601)  9 In 2.99-3.25
Mg (0.7500, 0.3601, 0.0000)  9 In 2.99-3.25
Mg (0.7500, 0.6399, 0.6399)  9 In 2.99-3.25
Mg (0.2500, 0.0000, 0.6399)  9 In 2.99-3.25
Mg (0.2500, 0.6399, 0.0000)  9 In 2.99-3.25
Mg (0.2500, 0.3601, 0.3601)  9 In 2.99-3.25

Record 5
Computed, not measured: an optimized crystal structure of Fe2AsOs at the GGA-PBEsol level of DFT.

As for the space group: No. 25. The calculated formation energy is 0.16 eV/atom. The crystal system is orthorhombic. The value obtained for the magnetization is 3.49 Bohr magnetons per cell. The calculation puts the uncorrected energy at -34.62 eV for the cell shown.

Unit cell a=2.7523 b=4.0797 c=4.4372 alpha=90.00 beta=90.00 gamma=90.00
Closest atoms and distances in Å follow each position.
Fractional coordinates of all 4 atoms:
As (0.5000, 0.5000, 0.1945)  6 Fe 2.42-2.57, 2 Os 2.54
Fe (0.0000, 0.0000, 0.0250)  2 Fe 2.39, 4 As 2.57, 4 Os 2.57-2.65
Fe (0.0000, 0.5000, 0.7454)  2 Fe 2.39, 2 As 2.42, 4 Os 2.63
Os (0.5000, 0.0000, 0.5351)  2 As 2.54, 8 Fe 2.57-2.65, 2 Os 2.75

Record 6
Computed, not measured: an optimized crystal structure of AsRu at the GGA-PBEsol level of DFT.

As for the space group: No. 74. The calculated formation energy is 0.05 eV/atom. The crystal system is orthorhombic. The value obtained for the magnetization is 0.00 Bohr magnetons per cell. The calculation puts the uncorrected energy at -30.35 eV for the cell shown.

Unit cell a=2.9800 b=4.1714 c=5.3771 alpha=112.82 beta=106.09 gamma=90.00
Closest atoms and distances in Å follow each position.
Fractional coordinates of all 4 atoms:
Ru (0.1069, 0.8569, 0.2138)  6 As 2.55-2.56
Ru (0.8931, 0.1431, 0.7862)  6 As 2.55-2.56
As (0.6122, 0.3622, 0.2244)  6 Ru 2.55-2.56
As (0.3878, 0.6378, 0.7756)  6 Ru 2.55-2.56

Record 7
Computed, not measured: an optimized crystal structure of LiSm2IrO6 at the GGA-PBEsol level of DFT.

As for the space group: No. 14. The uncorrected formation energy comes out at -2.359 eV per atom. The crystal system is monoclinic. The value obtained for the magnetization is 3.94 Bohr magnetons per cell. The calculation puts the uncorrected energy at -154.13 eV for the cell shown.

Unit cell a=5.2923 b=5.7556 c=7.5815 alpha=90.00 beta=90.70 gamma=90.00
Closest atoms and distances in Å follow each position.
Fractional coordinates of all 20 atoms:
Li (0.0000, 0.0000, 0.0000)  6 O 2.00-2.12
Li (0.5000, 0.5000, 0.5000)  6 O 2.00-2.12
Sm (0.4783, 0.9207, 0.2516)  6 O 2.30-2.52
Sm (0.0217, 0.4207, 0.2484)  6 O 2.30-2.52
Sm (0.9783, 0.5793, 0.7516)  6 O 2.30-2.52
Sm (0.5217, 0.0793, 0.7484)  6 O 2.30-2.52
Ir (0.5000, 0.5000, 0.0000)  6 O 1.96-1.99
Ir (0.0000, 0.0000, 0.5000)  6 O 1.96-1.99
O (0.1766, 0.7070, 0.4457)  1 Ir 1.97, 1 Li 2.12
O (0.3234, 0.2070, 0.0543)  1 Ir 1.97, 1 Li 2.12
O (0.8234, 0.2930, 0.5543)  1 Ir 1.97, 1 Li 2.12
O (0.6766, 0.7930, 0.9457)  1 Ir 1.97, 1 Li 2.12
O (0.1037, 0.9689, 0.7486)  1 Ir 1.96, 1 Li 2.00
O (0.3963, 0.4689, 0.7514)  1 Ir 1.96, 1 Li 2.00
O (0.1937, 0.6866, 0.0502)  1 Ir 1.99, 1 Li 2.11
O (0.3063, 0.1866, 0.4498)  1 Ir 1.99, 1 Li 2.11
O (0.8063, 0.3134, 0.9498)  1 Ir 1.99, 1 Li 2.11
O (0.6937, 0.8134, 0.5502)  1 Ir 1.99, 1 Li 2.11
O (0.6037, 0.5311, 0.2486)  1 Ir 1.96, 1 Li 2.00
O (0.8963, 0.0311, 0.2514)  1 Ir 1.96, 1 Li 2.00

Record 8
Computed, not measured: an optimized crystal structure of Al3TeRu at the GGA-PBEsol level of DFT.

As for the space group: No. 221. The uncorrected formation energy comes out at 0.096 eV per atom. The crystal system is cubic. The value obtained for the magnetization is 0.00 Bohr magnetons per cell. The calculation puts the uncorrected energy at -25.49 eV for the cell shown.

Unit cell a=4.7353 b=4.7353 c=4.7353 alpha=90.00 beta=90.00 gamma=90.00
Closest atoms and distances in Å follow each position.
Fractional coordinates of all 5 atoms:
Ru (0.0000, 0.0000, 0.0000)  6 Al 2.37
Te (0.5000, 0.5000, 0.5000)  12 Al 3.35
Al (0.0000, 0.5000, 0.0000)  2 Ru 2.37
Al (0.0000, 0.0000, 0.5000)  2 Ru 2.37
Al (0.5000, 0.0000, 0.0000)  2 Ru 2.37